# 1
Entry from Alexandria: a geometry-optimized RbTl5Pb structure (PBE-GGA).

Results
Raw total energy ... -16.733 eV/cell
Spin magnetization ... 0.00 μB/cell
Crystal system ... tetragonal
Fermi-level density of states ... 0.360 states/eV per atom

Cell lengths 4.759, 4.759, 11.442 Å; angles 90.00, 90.00, 90.00 degrees
Fractional positions:
Rb (0.000, 0.000, 0.500)
Tl (0.000, 0.500, 0.230)
Tl (0.000, 0.500, 0.770)
Tl (0.500, 0.000, 0.230)
Tl (0.500, 0.000, 0.770)
Tl (0.000, 0.000, 0.000)
Pb (0.500, 0.500, 0.000)

***

# 2
Entry from Alexandria: a geometry-optimized RbTl4Pb structure (PBE-GGA).

Results
Spin magnetization ... 0.00 μB/cell
Energy above the lowest structure with this stoichiometry ... 0 meV per atom
Crystal system ... orthorhombic
Fermi-level density of states ... 0.562 states/eV per atom

Cell lengths 4.937, 9.011, 9.802 Å; angles 90.00, 90.00, 90.00 degrees
Fractional positions:
Rb (0.000, 0.636, 0.750)
Rb (0.000, 0.364, 0.250)
Tl (0.000, 0.000, 0.500)
Tl (0.000, 0.000, 0.000)
Tl (0.500, 0.954, 0.750)
Tl (0.500, 0.046, 0.250)
Tl (0.500, 0.695, 0.045)
Tl (0.500, 0.305, 0.955)
Tl (0.500, 0.695, 0.455)
Tl (0.500, 0.305, 0.545)
Pb (0.000, 0.230, 0.750)
Pb (0.000, 0.770, 0.250)

***

# 3
Entry from Alexandria: a geometry-optimized RbTlPb2 structure (PBE-GGA).

Results
Spin magnetization ... 0.00 μB/cell
Energy above the lowest structure with this stoichiometry ... 0 meV per atom
Crystal system ... orthorhombic
Fermi-level density of states ... 0.336 states/eV per atom

Cell lengths 5.298, 8.534, 13.124 Å; angles 90.00, 90.00, 90.00 degrees
Fractional positions:
Rb (0.750, 0.749, 0.172)
Rb (0.250, 0.751, 0.672)
Rb (0.250, 0.251, 0.828)
Rb (0.750, 0.249, 0.328)
Tl (0.250, 0.943, 0.402)
Tl (0.750, 0.057, 0.598)
Tl (0.250, 0.443, 0.098)
Tl (0.750, 0.557, 0.902)
Pb (0.250, 0.062, 0.154)
Pb (0.750, 0.689, 0.465)
Pb (0.250, 0.311, 0.535)
Pb (0.750, 0.438, 0.654)
Pb (0.250, 0.811, 0.965)
Pb (0.250, 0.562, 0.346)
Pb (0.750, 0.938, 0.846)
Pb (0.750, 0.189, 0.035)

***

# 4
Entry from Alexandria: a geometry-optimized RbTl8Pb4 structure (PBE-GGA).

Results
Spin magnetization ... 0.00 μB/cell
Energy above the lowest structure with this stoichiometry ... 0 meV per atom
Crystal system ... tetragonal
Fermi-level density of states ... 0.540 states/eV per atom

Cell lengths 6.680, 8.770, 8.770 Å; angles 81.66, 67.62, 67.62 degrees
Fractional positions:
Rb (0.000, 0.000, 0.000)
Tl (0.000, 0.355, 0.645)
Tl (0.000, 0.645, 0.355)
Tl (0.355, 0.645, 0.645)
Tl (0.645, 0.355, 0.355)
Tl (0.500, 0.786, 0.214)
Tl (0.500, 0.214, 0.786)
Tl (0.286, 0.214, 0.214)
Tl (0.714, 0.786, 0.786)
Pb (0.000, 0.000, 0.500)
Pb (0.500, 0.000, 0.500)
Pb (0.000, 0.500, 0.000)
Pb (0.500, 0.500, 0.000)

***

# 5
Entry from Alexandria: a geometry-optimized Rb3Tl2Pb9 structure (PBE-GGA).

Results
Raw total energy ... -42.268 eV/cell
Spin magnetization ... 0.00 μB/cell
Crystal system ... orthorhombic
Fermi-level density of states ... 0.455 states/eV per atom

Cell lengths 5.429, 10.081, 10.081 Å; angles 75.83, 74.38, 74.38 degrees
Fractional positions:
Rb (0.000, 0.000, 0.000)
Rb (0.710, 0.290, 0.290)
Rb (0.290, 0.710, 0.710)
Tl (0.500, 0.338, 0.662)
Tl (0.500, 0.662, 0.338)
Pb (0.000, 0.500, 0.500)
Pb (0.639, 0.999, 0.723)
Pb (0.361, 0.001, 0.277)
Pb (0.639, 0.723, 0.999)
Pb (0.361, 0.277, 0.001)
Pb (0.848, 0.869, 0.434)
Pb (0.152, 0.131, 0.566)
Pb (0.848, 0.434, 0.869)
Pb (0.152, 0.566, 0.131)

***

# 6
Entry from Alexandria: a geometry-optimized Rb2TlPb2 structure (PBE-GGA).

Results
Spin magnetization ... 0.00 μB/cell
Energy above the lowest structure with this stoichiometry ... 0 meV per atom
Crystal system ... monoclinic
Fermi-level density of states ... 0.543 states/eV per atom

Cell lengths 7.449, 6.864, 10.334 Å; angles 97.58, 90.00, 122.86 degrees
Fractional positions:
Rb (0.529, 0.305, 0.159)
Rb (0.224, 0.695, 0.341)
Rb (0.471, 0.695, 0.841)
Rb (0.776, 0.305, 0.659)
Tl (0.915, 0.000, 0.250)
Tl (0.085, 0.000, 0.750)
Pb (0.736, 0.746, 0.493)
Pb (0.991, 0.254, 0.007)
Pb (0.264, 0.254, 0.507)
Pb (0.009, 0.746, 0.993)